1.
K2CdAg PBE-GGA optimized geometry; D(E_F) = 3.00 states/eV/cell; calculated density = 3.2 g cm⁻³; raw total energy = -1.465 eV/atom; energy above the most stable polymorph in this dataset = 0.067 eV per atom; formation enthalpy at 0 K = 0.025 eV/atom
1.0
3.928 0.000 0.000
0.000 3.950 0.000
0.000 0.000 9.953
K Ag Cd
2 1 1
direct
0.500 0.500 0.329
0.000 0.000 0.921
0.000 0.000 0.579
0.500 0.500 0.671

2.
InGaOs2 PBE-GGA optimized geometry; D(E_F) = 3.77 states/eV/cell; calculated density = 15.0 g cm⁻³; raw total energy = -6.629 eV/atom; energy above the most stable polymorph in this dataset = 0.000 eV per atom; formation enthalpy at 0 K = 0.427 eV/atom
1.0
0.000 3.154 3.154
3.154 0.000 3.154
3.154 3.154 0.000
Ga Os In
1 2 1
direct
0.000 0.000 0.000
0.250 0.250 0.250
0.750 0.750 0.750
0.500 0.500 0.500

Q: Among the records above, which one has the lowest formation enthalpy at 0 K?
A: K2CdAg

Q: Among the records above, which one has the lowest formation enthalpy at 0 K?
A: K2CdAg

Q: energy above the most stable polymorph in this dataset of number 1 (K2CdAg)?
A: 0.067 eV per atom

Q: The highest D(E_F) belongs to which entry?
A: InGaOs2